Record 1
Entry from Alexandria: B5C7 after structural relaxation (PBE).

Structure (extended XYZ):
```
12
Lattice="4.048 -1.312 0.000 4.048 1.312 0.000 -3.472 0.000 7.099" Properties=species:S:1:pos:R:3 pbc="T T T"
B 0.000 0.000 0.000
B 3.200 0.000 1.767
B 3.013 0.000 6.240
B 5.001 0.000 2.336
B 6.344 0.000 0.886
C -1.558 0.000 5.549
C -0.872 0.000 4.160
C 0.596 0.000 4.517
C 1.302 0.000 3.139
C 2.824 0.000 3.372
C 4.619 0.000 0.730
C 4.990 0.000 5.325
```

Summary:
- Crystal system: monoclinic
- Energy of formation: 0.32 eV per atom
- Spin magnetization: 0.000 μB/f.u.
- Fermi-level density of states: 1.09 states/eV/f.u.
- Distance to the lowest polymorph of the same formula: 6.0 kJ/mol of atoms
- Space-group type: Cm


Record 2
Entry from Alexandria: Ce12SmTh3 after structural relaxation (PBE).

Structure (extended XYZ):
```
16
Lattice="4.810 0.000 0.000 0.000 4.810 0.000 0.000 0.000 19.379" Properties=species:S:1:pos:R:3 pbc="T T T"
Ce 0.000 0.000 0.000
Ce 0.000 0.000 4.814
Ce 0.000 0.000 9.690
Ce 0.000 0.000 14.565
Ce 0.000 2.405 2.414
Ce 0.000 2.405 7.230
Ce 0.000 2.405 12.149
Ce 0.000 2.405 16.965
Ce 2.405 0.000 2.414
Ce 2.405 0.000 7.230
Ce 2.405 0.000 12.149
Ce 2.405 0.000 16.965
Sm 2.405 2.405 9.690
Th 2.405 2.405 0.000
Th 2.405 2.405 4.836
Th 2.405 2.405 14.543
```

Summary:
- Crystal system: tetragonal
- Energy of formation: 0.03 eV per atom
- Spin magnetization: 0.000 μB/f.u.
- Fermi-level density of states: 35.33 states/eV/f.u.
- Space-group type: P4/mmm


Record 3
Entry from Alexandria: K2MgHgC after structural relaxation (PBE).

Structure (extended XYZ):
```
5
Lattice="6.123 0.000 0.000 0.000 6.123 0.000 0.000 0.000 4.202" Properties=species:S:1:pos:R:3 pbc="T T T"
K 0.000 3.062 0.000
K 3.062 0.000 0.000
Mg 0.000 0.000 2.101
Hg 3.062 3.062 2.101
C 0.000 0.000 0.000
```

Summary:
- Crystal system: tetragonal
- Energy of formation: 0.51 eV per atom
- Spin magnetization: 0.007 μB/f.u.
- Fermi-level density of states: 1.55 states/eV/f.u.
- Space-group type: P4/mmm


Record 4
Entry from Alexandria: Ta4Os3W after structural relaxation (PBE).

Structure (extended XYZ):
```
8
Lattice="3.303 0.000 0.000 0.000 4.456 0.000 0.000 0.000 8.917" Properties=species:S:1:pos:R:3 pbc="T T T"
Ta 0.000 0.000 0.000
Ta 0.000 0.000 4.459
Ta 0.000 2.228 2.222
Ta 0.000 2.228 6.695
Os 1.651 0.000 2.277
Os 1.651 0.000 6.640
Os 1.651 2.228 4.459
W 1.651 2.228 0.000
```

Summary:
- Crystal system: orthorhombic
- Energy of formation: -0.27 eV per atom
- Spin magnetization: 0.000 μB/f.u.
- Fermi-level density of states: 4.52 states/eV/f.u.
- Space-group type: Pmmm


Record 5
Entry from Alexandria: K2BaH4 after structural relaxation (PBE).

Structure (extended XYZ):
```
14
Lattice="2.115 -3.664 0.000 2.115 3.664 0.000 0.000 0.000 19.009" Properties=species:S:1:pos:R:3 pbc="T T T"
K 2.115 2.433 11.044
K 2.115 2.433 17.469
K 2.115 -2.433 1.540
K 2.115 -2.433 7.964
Ba 2.115 0.016 4.752
Ba 2.115 -0.016 14.257
H 2.115 2.458 3.021
H 2.115 2.458 6.484
H 2.115 2.426 14.257
H 2.115 0.000 0.000
H 2.115 0.000 9.504
H 2.115 -2.426 4.752
H 2.115 -2.458 12.525
H 2.115 -2.458 15.988
```

Summary:
- Crystal system: orthorhombic
- Energy: -2.80 eV per atom
- Spin magnetization: 0.000 μB/f.u.
- Fermi-level density of states: 0.00 states/eV/f.u.
- Space-group type: Cmcm


Record 6
Entry from Alexandria: ZnGeN2 after structural relaxation (PBE).

Structure (extended XYZ):
```
12
Lattice="3.413 0.000 0.000 -1.706 2.956 0.000 0.000 0.000 16.447" Properties=species:S:1:pos:R:3 pbc="T T T"
Zn 0.000 0.000 0.000
Zn 0.000 1.970 10.965
Zn 1.706 0.985 5.482
Ge 0.000 0.000 8.223
Ge 0.000 1.970 2.741
Ge 1.706 0.985 13.706
N 0.000 0.000 6.512
N 0.000 0.000 9.935
N 0.000 1.970 1.030
N 0.000 1.970 4.453
N 1.706 0.985 11.994
N 1.706 0.985 15.417
```

Summary:
- Crystal system: trigonal
- Energy: -4.91 eV per atom
- Spin magnetization: 0.000 μB/f.u.
- Fermi-level density of states: 0.13 states/eV/f.u.
- Space-group type: R-3m


Record 7
Entry from Alexandria: ScAs2BrO after structural relaxation (PBE).

Structure (extended XYZ):
```
5
Lattice="5.228 0.000 0.000 0.000 5.228 0.000 0.000 0.000 5.116" Properties=species:S:1:pos:R:3 pbc="T T T"
Sc 0.000 0.000 0.000
As 0.000 2.614 0.000
As 2.614 0.000 0.000
Br 0.000 0.000 2.558
O 2.614 2.614 2.558
```

Summary:
- Crystal system: tetragonal
- Spin magnetization: 0.457 μB/f.u.
- Fermi-level density of states: 6.34 states/eV/f.u.
- Distance to the lowest polymorph of the same formula: 74.3 kJ/mol of atoms
- Space-group type: P4/mmm


Record 8
Entry from Alexandria: FeCoSn6 after structural relaxation (PBE).

Structure (extended XYZ):
```
16
Lattice="6.491 -4.709 0.000 6.491 4.709 0.000 -6.305 0.000 6.700" Properties=species:S:1:pos:R:3 pbc="T T T"
Fe 3.246 2.354 0.000
Fe 3.246 -2.354 0.000
Co 0.093 2.354 3.350
Co 0.093 -2.354 3.350
Sn -1.967 1.502 4.540
Sn 1.310 2.631 5.452
Sn 5.367 2.631 1.247
Sn 3.251 0.000 0.991
Sn 1.077 0.000 3.305
Sn -1.967 -1.502 4.540
Sn 8.645 1.502 2.160
Sn 5.601 0.000 3.395
Sn 3.426 0.000 5.708
Sn 1.310 -2.631 5.452
Sn 5.367 -2.631 1.247
Sn 8.645 -1.502 2.160
```

Summary:
- Crystal system: monoclinic
- Energy of formation: 0.11 eV per atom
- Spin magnetization: 1.615 μB/f.u.
- Fermi-level density of states: 4.90 states/eV/f.u.
- Distance to the lowest polymorph of the same formula: 0.0 kJ/mol of atoms
- Space-group type: C2/m


Record 9
Entry from Alexandria: Pr3Sb4Au3 after structural relaxation (PBE).

Structure (extended XYZ):
```
20
Lattice="-5.084 5.084 5.084 5.084 -5.084 5.084 5.084 5.084 -5.084" Properties=species:S:1:pos:R:3 pbc="T T T"
Pr 5.084 -2.542 3.813
Pr 3.813 5.084 -2.542
Pr 5.084 2.542 1.271
Pr 2.542 1.271 5.084
Pr 1.271 5.084 2.542
Pr -2.542 3.813 5.084
Sb 3.422 1.662 -1.662
Sb 5.965 -0.880 0.880
Sb 1.662 -1.662 3.422
Sb 1.662 1.662 1.662
Sb -1.662 3.422 1.662
Sb 0.880 5.965 -0.880
Sb -0.880 0.880 5.965
Sb 4.204 4.204 4.204
Au 7.627 1.271 0.000
Au 3.813 0.000 2.542
Au 2.542 3.813 0.000
Au 0.000 2.542 3.813
Au 1.271 0.000 7.627
Au 0.000 7.627 1.271
```

Summary:
- Crystal system: cubic
- Energy: -4.95 eV per atom
- Spin magnetization: 0.000 μB/f.u.
- Space-group type: I-43d


Record 10
Entry from Alexandria: SrCaLa2Cr after structural relaxation (PBE).

Structure (extended XYZ):
```
5
Lattice="5.653 0.000 0.000 0.000 5.653 0.000 0.000 0.000 5.999" Properties=species:S:1:pos:R:3 pbc="T T T"
Sr 0.000 0.000 0.000
Ca 2.826 2.826 0.000
La 0.000 2.826 3.000
La 2.826 0.000 3.000
Cr 2.826 2.826 3.000
```

Summary:
- Crystal system: tetragonal
- Energy of formation: 0.32 eV per atom
- Spin magnetization: 2.351 μB/f.u.
- Fermi-level density of states: 6.78 states/eV/f.u.
- Distance to the lowest polymorph of the same formula: 0.0 kJ/mol of atoms
- Space-group type: P4/mmm


Record 11
Entry from Alexandria: TiAu after structural relaxation (PBE).

Structure (extended XYZ):
```
12
Lattice="4.605 0.000 0.000 0.000 8.019 0.000 0.000 0.000 5.644" Properties=species:S:1:pos:R:3 pbc="T T T"
Ti 0.000 0.000 0.000
Ti 0.000 2.662 1.357
Ti 0.000 5.357 1.357
Ti 2.302 1.348 4.179
Ti 2.302 4.010 2.822
Ti 2.302 6.672 4.179
Au 0.000 0.000 2.801
Au 0.000 2.639 4.270
Au 0.000 5.381 4.270
Au 2.302 1.371 1.448
Au 2.302 4.010 5.623
Au 2.302 6.648 1.448
```

Summary:
- Crystal system: orthorhombic
- Energy of formation: -0.24 eV per atom
- Spin magnetization: 0.001 μB/f.u.
- Fermi-level density of states: 2.02 states/eV/f.u.
- Space-group type: Imm2


Record 12
Entry from Alexandria: CdGe2Au2 after structural relaxation (PBE).

Structure (extended XYZ):
```
10
Lattice="8.388 0.000 0.000 0.000 8.388 0.000 0.000 0.000 2.885" Properties=species:S:1:pos:R:3 pbc="T T T"
Cd 0.000 0.000 0.000
Cd 4.194 4.194 0.000
Ge 1.076 3.118 0.000
Ge 3.118 7.312 0.000
Ge 5.270 1.076 0.000
Ge 7.312 5.270 0.000
Au 1.419 5.613 1.443
Au 2.775 1.419 1.443
Au 5.613 6.969 1.443
Au 6.969 2.775 1.443
```

Summary:
- Crystal system: tetragonal
- Energy of formation: 0.12 eV per atom
- Spin magnetization: 0.000 μB/f.u.
- Fermi-level density of states: 2.28 states/eV/f.u.
- Distance to the lowest polymorph of the same formula: 4.3 kJ/mol of atoms
- Space-group type: P4/mbm


Record 13
Entry from Alexandria: KInGe after structural relaxation (PBE).

Structure (extended XYZ):
```
6
Lattice="5.259 0.000 0.000 1.226 5.316 0.000 2.624 0.002 6.441" Properties=species:S:1:pos:R:3 pbc="T T T"
K 0.000 0.000 0.000
K 5.599 2.526 6.420
In 2.675 0.077 2.609
In 5.552 2.474 2.597
Ge 2.862 2.905 4.064
Ge 6.594 4.955 4.073
```

Summary:
- Crystal system: triclinic
- Energy of formation: 0.00 eV per atom
- Spin magnetization: 0.000 μB/f.u.
- Fermi-level density of states: 1.57 states/eV/f.u.
- Space-group type: P1


Record 14
Entry from Alexandria: Sr2Ga5Pd5 after structural relaxation (PBE).

Structure (extended XYZ):
```
12
Lattice="4.255 0.000 0.000 0.000 5.469 0.000 0.000 0.000 9.916" Properties=species:S:1:pos:R:3 pbc="T T T"
Sr 0.000 0.000 0.000
Sr 0.000 2.735 4.958
Ga 2.127 0.000 4.958
Ga 2.127 1.348 2.334
Ga 2.127 1.348 7.582
Ga 2.127 4.121 2.334
Ga 2.127 4.121 7.582
Pd 0.000 0.000 3.326
Pd 0.000 0.000 6.590
Pd 0.000 2.735 1.891
Pd 0.000 2.735 8.025
Pd 2.127 2.735 0.000
```

Summary:
- Crystal system: orthorhombic
- Energy of formation: -0.65 eV per atom
- Spin magnetization: 0.000 μB/f.u.
- Fermi-level density of states: 5.81 states/eV/f.u.
- Space-group type: Pmmm


Record 15
Entry from Alexandria: Cs3Ni2Cl8 after structural relaxation (PBE).

Structure (extended XYZ):
```
13
Lattice="3.648 2.106 9.585 -3.648 2.106 9.585 0.000 -4.212 9.585" Properties=species:S:1:pos:R:3 pbc="T T T"
Cs 0.000 0.000 0.000
Cs 0.000 0.000 6.078
Cs 0.000 0.000 22.676
Ni 0.000 0.000 11.824
Ni 0.000 0.000 16.931
Cl -1.814 -1.047 16.220
Cl 0.000 -2.095 12.535
Cl -1.814 1.047 12.535
Cl 0.000 0.000 9.631
Cl 0.000 0.000 19.123
Cl 1.814 -1.047 16.220
Cl 0.000 2.095 16.220
Cl 1.814 1.047 12.535
```

Summary:
- Crystal system: trigonal
- Energy: -3.44 eV per atom
- Spin magnetization: 5.000 μB/f.u.
- Fermi-level density of states: 8.18 states/eV/f.u.
- Space-group type: R-3m


Record 16
Entry from Alexandria: MgZn3Se2 after structural relaxation (PBE).

Structure (extended XYZ):
```
12
Lattice="4.566 -4.167 0.000 4.566 4.167 0.000 0.000 0.000 7.325" Properties=species:S:1:pos:R:3 pbc="T T T"
Mg 4.566 3.197 5.494
Mg 4.566 -3.197 1.831
Zn 4.566 1.876 1.831
Zn 3.348 0.600 5.494
Zn 3.348 -0.600 1.831
Zn 5.784 0.600 5.494
Zn 5.784 -0.600 1.831
Zn 4.566 -1.876 5.494
Se 1.785 0.000 0.000
Se 1.785 0.000 3.662
Se 7.347 0.000 0.000
Se 7.347 0.000 3.662
```

Summary:
- Crystal system: orthorhombic
- Spin magnetization: 0.000 μB/f.u.
- Fermi-level density of states: 0.24 states/eV/f.u.
- Distance to the lowest polymorph of the same formula: 0.0 kJ/mol of atoms
- Space-group type: Cmcm